Entry 1:
A crystal of IrOs relaxed with PBEsol. Source: Alexandria via LeMat-Bulk, functional meta-GGA SCAN.

a = 3.8272 Å, b = 3.8272 Å, c = 4.6805 Å
α = 114.13°, β = 114.13°, γ = 90.00°
Element x y z (fractional)
Ir1 0.2500 0.7500 0.5000
Ir2 0.0000 0.0000 0.0000
Os1 0.7500 0.2500 0.5000
Os2 0.5000 0.5000 0.0000

Properties
SG: I4_1/amd (141)
Energy of formation from the pure elements in eV per atom: 0.05
Electronic total energy in eV per cell: -285.76


Entry 2:
A crystal of PIrOs2 relaxed with PBEsol. Source: Alexandria via LeMat-Bulk, functional meta-GGA SCAN.

a = 2.8309 Å, b = 3.8390 Å, c = 5.1730 Å
α = 90.00°, β = 104.71°, γ = 90.00°
Element x y z (fractional)
Ir1 0.5000 0.5000 0.5000
Os1 0.1372 0.0000 0.7657
Os2 0.8628 0.0000 0.2343
P1 0.5000 0.5000 0.0000

Properties
SG: P2/m (10)
Energy of formation from the pure elements in eV per atom: 0.13
Electronic total energy in eV per cell: -224.75


Entry 3:
A crystal of P2IrOs relaxed with PBEsol. Source: Alexandria via LeMat-Bulk, functional meta-GGA SCAN.

a = 3.8184 Å, b = 3.8992 Å, c = 3.9952 Å
α = 92.48°, β = 90.00°, γ = 90.00°
Element x y z (fractional)
Ir1 0.5000 0.5000 0.5000
Os1 0.5000 0.0000 0.0000
P1 0.0000 0.1846 0.3085
P2 0.0000 0.8154 0.6915

Properties
SG: P2/m (10)
Polymorph energy (0 for the lowest one) in meV/atom: 110.6
Energy of formation from the pure elements in eV per atom: 0.10
Electronic total energy in eV per cell: -163.38